DFT (GGA-PBE) results for a relaxed structure of Zr2BiPb.

Lattice parameters (Å, degrees): 6.661 6.661 13.383 90.00 90.00 90.00
Atoms (fractional coordinates):
Zr: 0.243 0.250 0.125
Zr: 0.250 0.743 0.375
Zr: 0.250 0.757 0.875
Zr: 0.257 0.250 0.625
Zr: 0.743 0.750 0.625
Zr: 0.750 0.243 0.875
Zr: 0.750 0.257 0.375
Zr: 0.757 0.750 0.125
Bi: 0.000 0.000 0.500
Bi: 0.000 0.500 0.750
Bi: 0.500 0.000 0.250
Bi: 0.500 0.500 0.000
Pb: 0.000 0.000 0.000
Pb: 0.000 0.500 0.250
Pb: 0.500 0.000 0.750
Pb: 0.500 0.500 0.500

Values from the calculation:
- space-group type = No. 122
- crystal system = tetragonal
- ΔE_f (eV/atom) = 0.62
- DOS at the Fermi energy (states/eV per atom) = 1.04
- total energy (eV per atom) = -5.556

***

DFT (GGA-PBE) results for a relaxed structure of Ba2PtRhO6.

Lattice parameters (Å, degrees): 10.525 10.525 10.525 32.28 32.28 32.28
Atoms (fractional coordinates):
Ba: 0.122 0.122 0.122
Ba: 0.287 0.287 0.287
Ba: 0.713 0.713 0.713
Ba: 0.878 0.878 0.878
Pt: 0.408 0.408 0.408
Pt: 0.592 0.592 0.592
Rh: 0.000 0.000 0.000
Rh: 0.500 0.500 0.500
O: 0.154 0.603 0.603
O: 0.198 0.198 0.734
O: 0.198 0.734 0.198
O: 0.266 0.802 0.802
O: 0.397 0.397 0.846
O: 0.397 0.846 0.397
O: 0.603 0.154 0.603
O: 0.603 0.603 0.154
O: 0.734 0.198 0.198
O: 0.802 0.266 0.802
O: 0.802 0.802 0.266
O: 0.846 0.397 0.397

Values from the calculation:
- space-group type = No. 166
- crystal system = trigonal
- formation energy from raw total energies (eV/f.u.) = -14.74
- DOS at the Fermi energy (states/eV per atom) = 0.70
- total energy (eV per atom) = -6.173

***

DFT (GGA-PBE) results for a relaxed structure of Li2DySbS4.

Lattice parameters (Å, degrees): 6.597 3.906 6.809 90.00 110.12 90.00
Atoms (fractional coordinates):
Li: 0.000 0.000 0.000
Li: 0.000 0.500 0.500
Dy: 0.500 0.000 0.500
Sb: 0.500 0.500 0.000
S: 0.246 0.000 0.746
S: 0.249 0.500 0.250
S: 0.751 0.500 0.750
S: 0.754 0.000 0.254

Values from the calculation:
- space-group type = No. 10
- crystal system = monoclinic
- formation energy from raw total energies (eV/f.u.) = -10.00
- DOS at the Fermi energy (states/eV per atom) = 0.00
- total energy (eV per atom) = -4.883

***

DFT (GGA-PBE) results for a relaxed structure of Er5Cd.

Lattice parameters (Å, degrees): 12.133 3.694 8.450 90.00 112.40 90.00
Atoms (fractional coordinates):
Er: 0.000 0.000 0.000
Er: 0.023 0.000 0.454
Er: 0.182 0.500 0.836
Er: 0.207 0.500 0.293
Er: 0.354 0.000 0.646
Er: 0.500 0.500 0.000
Er: 0.523 0.500 0.454
Er: 0.682 0.000 0.836
Er: 0.707 0.000 0.293
Er: 0.854 0.500 0.646
Cd: 0.352 0.000 0.145
Cd: 0.852 0.500 0.145

Values from the calculation:
- space-group type = No. 8
- crystal system = monoclinic
- ΔE_f (eV/atom) = -0.07
- DOS at the Fermi energy (states/eV per atom) = 1.26
- polymorph energy (0 for the lowest one) (meV/atom) = 21
- total energy (eV per atom) = -4.022

***

DFT (GGA-PBE) results for a relaxed structure of TcAg2Hg.

Lattice parameters (Å, degrees): 9.715 2.759 5.355 90.00 97.41 90.00
Atoms (fractional coordinates):
Tc: 0.000 0.000 0.000
Tc: 0.500 0.500 0.000
Ag: 0.002 0.500 0.508
Ag: 0.255 0.000 0.740
Ag: 0.502 0.000 0.508
Ag: 0.755 0.500 0.740
Hg: 0.248 0.500 0.226
Hg: 0.748 0.000 0.226

Values from the calculation:
- space-group type = No. 8
- crystal system = monoclinic
- ΔE_f (eV/atom) = 0.51
- DOS at the Fermi energy (states/eV per atom) = 0.71
- total energy (eV per atom) = -3.585

***

DFT (GGA-PBE) results for a relaxed structure of Al4InMo.

Lattice parameters (Å, degrees): 5.203 5.203 5.203 60.00 60.00 60.00
Atoms (fractional coordinates):
Al: 0.376 0.376 0.376
Al: 0.376 0.376 0.872
Al: 0.376 0.872 0.376
Al: 0.872 0.376 0.376
In: 0.000 0.000 0.000
Mo: 0.750 0.750 0.750

Values from the calculation:
- space-group type = No. 216
- crystal system = cubic
- ΔE_f (eV/atom) = 0.05
- DOS at the Fermi energy (states/eV per atom) = 0.25
- total energy (eV per atom) = -4.711

***

DFT (GGA-PBE) results for a relaxed structure of BeCdTe2I.

Lattice parameters (Å, degrees): 5.629 5.629 5.871 90.00 90.00 90.00
Atoms (fractional coordinates):
Be: 0.000 0.000 0.000
Cd: 0.500 0.500 0.500
Te: 0.000 0.500 0.500
Te: 0.500 0.000 0.500
I: 0.500 0.500 0.000

Values from the calculation:
- space-group type = No. 123
- crystal system = tetragonal
- formation energy from raw total energies (eV/f.u.) = 4.61
- DOS at the Fermi energy (states/eV per atom) = 1.44
- polymorph energy (0 for the lowest one) (meV/atom) = 629
- total energy (eV per atom) = -1.573

***

DFT (GGA-PBE) results for a relaxed structure of K3Rb2Na.

Lattice parameters (Å, degrees): 14.141 8.722 8.387 90.00 122.28 90.00
Atoms (fractional coordinates):
K: 0.000 0.000 0.000
K: 0.250 0.250 0.500
K: 0.250 0.750 0.500
K: 0.500 0.500 0.000
K: 0.750 0.250 0.500
K: 0.750 0.750 0.500
Rb: 0.126 0.500 0.875
Rb: 0.374 0.000 0.125
Rb: 0.626 0.000 0.875
Rb: 0.874 0.500 0.125
Na: 0.000 0.000 0.500
Na: 0.500 0.500 0.500

Values from the calculation:
- space-group type = No. 12
- crystal system = monoclinic
- ΔE_f (eV/atom) = 0.02
- DOS at the Fermi energy (states/eV per atom) = 0.71
- total energy (eV per atom) = -1.072

***

DFT (GGA-PBE) results for a relaxed structure of Ac2La3Sn2.

Lattice parameters (Å, degrees): 12.782 4.726 9.224 90.00 110.22 90.00
Atoms (fractional coordinates):
Ac: 0.143 0.000 0.300
Ac: 0.357 0.500 0.700
Ac: 0.643 0.500 0.300
Ac: 0.857 0.000 0.700
La: 0.000 0.500 0.500
La: 0.133 0.500 0.948
La: 0.367 0.000 0.052
La: 0.500 0.000 0.500
La: 0.633 0.000 0.948
La: 0.867 0.500 0.052
Sn: 0.162 0.000 0.706
Sn: 0.338 0.500 0.294
Sn: 0.662 0.500 0.706
Sn: 0.838 0.000 0.294

Values from the calculation:
- space-group type = No. 12
- crystal system = monoclinic
- ΔE_f (eV/atom) = -0.47
- DOS at the Fermi energy (states/eV per atom) = 1.28
- total energy (eV per atom) = -4.899

***

DFT (GGA-PBE) results for a relaxed structure of Ga3CuPb2Au12.

Lattice parameters (Å, degrees): 8.274 8.274 8.274 60.94 60.94 60.94
Atoms (fractional coordinates):
Ga: 0.000 0.500 0.500
Ga: 0.500 0.000 0.500
Ga: 0.500 0.500 0.000
Cu: 0.500 0.500 0.500
Pb: 0.126 0.126 0.126
Pb: 0.874 0.874 0.874
Au: 0.122 0.122 0.627
Au: 0.122 0.627 0.122
Au: 0.125 0.629 0.629
Au: 0.371 0.371 0.875
Au: 0.371 0.875 0.371
Au: 0.373 0.878 0.878
Au: 0.627 0.122 0.122
Au: 0.629 0.125 0.629
Au: 0.629 0.629 0.125
Au: 0.875 0.371 0.371
Au: 0.878 0.373 0.878
Au: 0.878 0.878 0.373

Values from the calculation:
- space-group type = No. 166
- crystal system = trigonal
- ΔE_f (eV/atom) = 0.07
- DOS at the Fermi energy (states/eV per atom) = 0.52
- total energy (eV per atom) = -3.260

***

DFT (GGA-PBE) results for a relaxed structure of Tl2TcOs.

Lattice parameters (Å, degrees): 4.822 3.084 5.381 90.00 111.98 90.00
Atoms (fractional coordinates):
Tl: 0.000 0.000 0.000
Tl: 0.000 0.500 0.500
Tc: 0.500 0.000 0.500
Os: 0.500 0.500 0.000

Values from the calculation:
- space-group type = No. 10
- crystal system = monoclinic
- ΔE_f (eV/atom) = 1.00
- DOS at the Fermi energy (states/eV per atom) = 1.01
- polymorph energy (0 for the lowest one) (meV/atom) = 563
- total energy (eV per atom) = -5.579

***

DFT (GGA-PBE) results for a relaxed structure of LaFeAsSe2.

Lattice parameters (Å, degrees): 4.939 4.939 4.560 90.00 90.00 90.00
Atoms (fractional coordinates):
La: 0.000 0.000 0.000
Fe: 0.500 0.500 0.500
As: 0.500 0.500 0.000
Se: 0.000 0.500 0.500
Se: 0.500 0.000 0.500

Values from the calculation:
- space-group type = No. 123
- crystal system = tetragonal
- formation energy from raw total energies (eV/f.u.) = -3.39
- DOS at the Fermi energy (states/eV per atom) = 1.03
- polymorph energy (0 for the lowest one) (meV/atom) = 0
- total energy (eV per atom) = -5.680

***

Question: Which value of total energy does entry 11 give?
Answer: -5.579 eV per atom